Material: Sm5Cd2Rh2
Method: DFT, PBE-GGA
State: relaxed

Output
crystal system = orthorhombic
SG = Cmce
formation energy from the elements = -475 meV per atom

```
Sm5Cd2Rh2
1.0
8.154 -3.773 0.000
8.154 3.773 0.000
0.000 0.000 7.911
Sm Cd Rh
10 4 4
Cartesian
0.000 0.000 0.000 Sm
6.205 2.475 5.348 Sm
6.205 1.298 1.392 Sm
10.102 2.475 5.348 Sm
10.102 1.298 1.392 Sm
8.154 0.000 3.956 Sm
6.205 -1.298 6.520 Sm
6.205 -2.475 2.564 Sm
10.102 -1.298 6.520 Sm
10.102 -2.475 2.564 Sm
3.545 0.000 0.000 Cd
4.608 0.000 3.956 Cd
11.699 0.000 3.956 Cd
12.762 0.000 0.000 Cd
8.154 2.793 2.916 Rh
8.154 0.980 6.871 Rh
8.154 -0.980 1.040 Rh
8.154 -2.793 4.996 Rh
```

Material: NaHg3Pd6
Method: DFT, PBE-GGA
State: relaxed

Output
crystal system = monoclinic
SG = P2_1/m
formation energy from the elements = -134 meV per atom

```
NaHg3Pd6
1.0
7.780 0.000 0.000
0.000 4.736 0.000
-3.788 0.000 9.499
Na Hg Pd
2 6 12
Cartesian
-1.273 1.184 4.025 Na
5.265 3.552 5.474 Na
1.687 1.184 0.235 Hg
-0.222 3.552 7.376 Hg
1.058 1.184 5.918 Hg
2.933 3.552 3.581 Hg
4.213 1.184 2.122 Hg
2.304 3.552 9.263 Hg
-2.859 3.552 8.329 Pd
-1.703 1.184 6.966 Pd
0.581 3.552 1.727 Pd
0.312 3.552 4.506 Pd
1.405 1.184 3.044 Pd
3.305 3.552 0.714 Pd
0.686 1.184 8.785 Pd
2.587 3.552 6.454 Pd
3.680 1.184 4.993 Pd
3.410 1.184 7.772 Pd
5.694 3.552 2.533 Pd
6.850 1.184 1.169 Pd
```

Material: SrFeRh4
Method: DFT, PBE-GGA
State: relaxed

Output
crystal system = cubic
SG = F-43m
formation energy from the elements = 144 meV per atom

```
SrFeRh4
1.0
0.000 3.740 3.740
3.740 0.000 3.740
3.740 3.740 0.000
Sr Fe Rh
1 1 4
Cartesian
0.000 0.000 0.000 Sr
5.610 5.610 5.610 Fe
2.810 2.810 2.810 Rh
4.669 4.669 2.810 Rh
4.669 2.810 4.669 Rh
2.810 4.669 4.669 Rh
```

Material: SrRu3Cl
Method: DFT, PBE-GGA
State: relaxed

Output
crystal system = cubic
excess energy over the best structure of this formula in the dataset = 1.754 eV per atom
SG = Pm-3m
formation energy from raw total energies = 59.21 kcal/mol of atoms

```
SrRu3Cl
1.0
5.129 0.000 0.000
0.000 5.129 0.000
0.000 0.000 5.129
Sr Ru Cl
1 3 1
Cartesian
0.000 0.000 0.000 Sr
0.000 0.000 2.564 Ru
0.000 2.564 0.000 Ru
2.564 0.000 0.000 Ru
2.564 2.564 2.564 Cl
```

Material: GeSb2RhI
Method: DFT, PBE-GGA
State: relaxed

Output
crystal system = tetragonal
excess energy over the best structure of this formula in the dataset = 0.626 eV per atom
SG = P4/mmm
formation energy from raw total energies = 25.43 kcal/mol of atoms

```
GeSb2RhI
1.0
5.292 0.000 0.000
0.000 5.292 0.000
0.000 0.000 5.431
Ge Sb Rh I
1 2 1 1
Cartesian
0.000 0.000 0.000 Ge
0.000 2.646 0.000 Sb
2.646 0.000 0.000 Sb
2.646 2.646 2.716 Rh
0.000 0.000 2.716 I
```

Material: BaMnGa2Si
Method: DFT, PBE-GGA
State: relaxed

Output
crystal system = tetragonal
SG = P4/mmm
formation energy from raw total energies = -7.12 kcal/mol of atoms

```
BaMnGa2Si
1.0
4.795 0.000 0.000
0.000 4.795 0.000
0.000 0.000 4.574
Ba Mn Ga Si
1 1 2 1
Cartesian
0.000 0.000 0.000 Ba
2.397 2.397 2.287 Mn
0.000 2.397 2.287 Ga
2.397 0.000 2.287 Ga
2.397 2.397 0.000 Si
```

| no. | calculated volume (A^3/atom) | DOS(E_F) (states/eV/cell) |
| --- | --- | --- |
| 1 | 27.04 | 12.6 |
| 2 | 17.50 | 8.8 |
| 3 | 17.44 | 7.9 |
| 4 | 26.98 | 5.5 |
| 5 | 30.42 | 5.1 |
| 6 | 21.03 | 2.3 |